Computed, not measured: a geometry-optimized Zr2MnCl structure at the GGA-PBE level of DFT.

Computed properties:
* M_tot: 0.042 μB/atom
* DOS(E_F): 12.38 states/eV/cell
* total energy: -7.322 eV/atom
* calculated volume: 231 Å³ per cell
* formation energy from raw total energies: -0.294 eV per atom

Lattice parameters (Å, degrees): 3.3957 3.3957 23.1663 90.00 90.00 120.00
Space group R-3m (No. 166, hexagonal axes)
Inequivalent atoms, fractional coordinates:
1 Zr 0.0000 0.0000 0.2381
2 Mn 0.0000 0.0000 0.5000
3 Cl 0.0000 0.0000 0.0000



Computed, not measured: a geometry-optimized CuTcB structure at the GGA-PBE level of DFT.

Computed properties:
* M_tot: 0.000 μB/atom
* DOS(E_F): 3.60 states/eV/cell
* total energy: -6.967 eV/atom
* calculated volume: 69 Å³ per cell
* ΔH_f (0 K): 79 meV per atom

Lattice parameters (Å, degrees): 2.9602 2.9421 7.9426 90.00 90.00 90.00
Space group Amm2 (No. 38)
Inequivalent atoms, fractional coordinates:
1 Cu 0.0000 0.0000 0.0000
2 Tc 0.5000 0.0000 0.7221
3 B 0.0000 0.0000 0.2924



Computed, not measured: a geometry-optimized Tb12Pr3Th structure at the GGA-PBE level of DFT.

Computed properties:
* M_tot: 0.000 μB/atom
* DOS(E_F): 22.46 states/eV/cell
* total energy: -4.811 eV/atom
* calculated volume: 523 Å³ per cell
* ΔH_f (0 K): 22 meV per atom

Lattice parameters (Å, degrees): 5.0769 5.0769 20.3021 90.00 90.00 90.00
Space group P4/mmm (No. 123)
Inequivalent atoms, fractional coordinates:
1 Tb 0.0000 0.0000 0.0000
2 Tb 0.0000 0.0000 0.2491
3 Tb 0.0000 0.0000 0.5000
4 Tb 0.0000 0.5000 0.1214
5 Tb 0.0000 0.5000 0.3740
6 Pr 0.5000 0.5000 0.2485
7 Pr 0.5000 0.5000 0.5000
8 Th 0.5000 0.5000 0.0000



Computed, not measured: a geometry-optimized TbY4Tm3S8 structure at the GGA-PBE level of DFT.

Computed properties:
* M_tot: 0.000 μB/atom
* DOS(E_F): 27.32 states/eV/cell
* total energy: -6.776 eV/atom
* calculated volume: 1001 Å³ per cell
* formation energy from raw total energies: -1.969 eV per atom

Lattice parameters (Å, degrees): 7.7778 7.7778 19.1018 90.00 90.00 120.00
Space group R-3m (No. 166, hexagonal axes)
Inequivalent atoms, fractional coordinates:
1 Tb 0.0000 0.0000 0.0000
2 Y 0.0000 0.0000 0.5000
3 Y 0.0000 0.5000 0.5000
4 Tm 0.0000 0.5000 0.0000
5 S 0.0000 0.0000 0.2526
6 S 0.0040 0.5020 0.2517



Computed, not measured: a geometry-optimized HfZrVSe2 structure at the GGA-PBE level of DFT.

Computed properties:
* M_tot: 0.316 μB/atom
* DOS(E_F): 6.06 states/eV/cell
* total energy: -6.414 eV/atom
* calculated volume: 123 Å³ per cell
* formation energy from raw total energies: 0.503 eV per atom

Lattice parameters (Å, degrees): 5.0270 5.0270 4.8809 90.00 90.00 90.00
Space group P4/mmm (No. 123)
Inequivalent atoms, fractional coordinates:
1 Hf 0.0000 0.0000 0.0000
2 Zr 0.5000 0.5000 0.5000
3 V 0.0000 0.0000 0.5000
4 Se 0.0000 0.5000 0.0000



Computed, not measured: a geometry-optimized Rb2BaBI6 structure at the GGA-PBE level of DFT.

Computed properties:
* M_tot: 0.000 μB/atom
* DOS(E_F): 15.56 states/eV/cell
* total energy: -2.710 eV/atom
* calculated volume: 898 Å³ per cell
* formation energy from raw total energies: -0.727 eV per atom

Lattice parameters (Å, degrees): 8.6070 8.6070 12.1164 90.00 90.00 90.00
Space group I4/mmm (No. 139)
Inequivalent atoms, fractional coordinates:
1 Rb 0.0000 0.5000 0.2500
2 Ba 0.0000 0.0000 0.0000
3 B 0.0000 0.0000 0.5000
4 I 0.0000 0.0000 0.2776
5 I 0.2236 0.2236 0.5000



Computed, not measured: a geometry-optimized Dy2Y2In structure at the GGA-PBE level of DFT.

Computed properties:
* M_tot: 0.000 μB/atom
* DOS(E_F): 11.71 states/eV/cell
* total energy: -4.957 eV/atom
* calculated volume: 311 Å³ per cell
* ΔH_f (0 K): 17 meV per atom

Lattice parameters (Å, degrees): 8.1628 8.1628 4.6735 90.00 90.00 90.00
Space group P4/mbm (No. 127)
Inequivalent atoms, fractional coordinates:
1 Dy 0.1473 0.3527 0.0000
2 Y 0.1534 0.6534 0.5000
3 In 0.0000 0.0000 0.0000



Computed, not measured: a geometry-optimized LaAgAs2 structure at the GGA-PBE level of DFT.

Computed properties:
* M_tot: 0.000 μB/atom
* DOS(E_F): 4.06 states/eV/cell
* total energy: -4.704 eV/atom
* calculated volume: 190 Å³ per cell
* ΔH_f (0 K): -435 meV per atom

Lattice parameters (Å, degrees): 4.5188 6.2192 6.7764 90.00 90.00 90.00
Space group Cmmm (No. 65)
Inequivalent atoms, fractional coordinates:
1 La 0.0000 0.0000 0.0000
2 Ag 0.0000 0.0000 0.5000
3 As 0.0000 0.5000 0.2814



Question: Which value of calculated volume does entry 3 give?
Answer: 523 Å³ per cell